# 1
A relaxed DyTh2Ga crystal. Source: the Alexandria database, functional PBE-GGA.

Cell lengths 3.399, 3.399, 11.852 Å; angles 81.76, 81.76, 60.00 degrees
Element x y z (fractional)
Ga1 0.500 0.500 0.500
Th1 0.095 0.095 0.716
Th2 0.905 0.905 0.284
Dy1 0.000 0.000 0.000

* E above lowest polymorph: 0.2964 eV/atom

=====

# 2
A relaxed Dy2Th2ZnGa4 crystal. Source: the Alexandria database, functional PBE-GGA.

Cell lengths 6.615, 6.615, 6.615 Å; angles 95.80, 116.71, 116.71 degrees
Element x y z (fractional)
Dy1 0.000 0.690 0.690
Dy2 0.000 0.310 0.310
Th1 0.500 0.750 0.250
Th2 0.500 0.250 0.750
Zn1 0.000 0.000 0.000
Ga1 0.000 0.753 0.247
Ga2 0.506 0.753 0.753
Ga3 0.000 0.247 0.753
Ga4 0.494 0.247 0.247

=====

# 3
A relaxed Dy2ThZn2Ga2 crystal. Source: the Alexandria database, functional PBE-GGA.

Cell lengths 4.401, 4.401, 9.955 Å; angles 77.23, 77.23, 60.00 degrees
Element x y z (fractional)
Dy1 0.128 0.128 0.616
Dy2 0.872 0.872 0.384
Th1 0.000 0.000 0.000
Zn1 0.600 0.600 0.199
Zn2 0.400 0.400 0.801
Ga1 0.741 0.741 0.777
Ga2 0.259 0.259 0.223

=====

# 4
A relaxed DyTi4Ga4 crystal. Source: the Alexandria database, functional PBE-GGA.

Cell lengths 5.072, 8.060, 8.060 Å; angles 90.00, 90.00, 90.00 degrees
Site moments in Bohr magnetons follow the coordinates.
Element x y z (fractional)
Dy1 0.000 0.000 0.000  -0.01
Dy2 0.500 0.500 0.500  -0.01
Ti1 0.392 0.431 0.861  0.18
Ti2 0.892 0.639 0.931  0.18
Ti3 0.392 0.569 0.139  0.18
Ti4 0.108 0.069 0.639  0.18
Ti5 0.608 0.861 0.569  0.18
Ti6 0.108 0.931 0.361  0.18
Ti7 0.892 0.361 0.069  0.18
Ti8 0.608 0.139 0.431  0.18
Ga1 0.583 0.874 0.225  0.00
Ga2 0.583 0.126 0.775  0.00
Ga3 0.083 0.725 0.626  0.00
Ga4 0.917 0.374 0.725  0.00
Ga5 0.917 0.626 0.275  0.00
Ga6 0.417 0.225 0.126  0.00
Ga7 0.417 0.775 0.874  0.00
Ga8 0.083 0.275 0.374  0.00

=====

# 5
A relaxed Dy3TiGa12 crystal. Source: the Alexandria database, functional PBE-GGA.

Cell lengths 4.206, 4.206, 16.825 Å; angles 90.00, 90.00, 90.00 degrees
Element x y z (fractional)
Dy1 0.000 0.000 0.241
Dy2 0.000 0.000 0.500
Dy3 0.000 0.000 0.759
Ti1 0.000 0.000 0.000
Ga1 0.500 0.500 0.000
Ga2 0.500 0.500 0.247
Ga3 0.500 0.500 0.500
Ga4 0.500 0.500 0.753
Ga5 0.500 0.000 0.114
Ga6 0.500 0.000 0.371
Ga7 0.500 0.000 0.629
Ga8 0.500 0.000 0.886
Ga9 0.000 0.500 0.114
Ga10 0.000 0.500 0.371
Ga11 0.000 0.500 0.629
Ga12 0.000 0.500 0.886

=====

# 6
A relaxed DyTi2Ga6 crystal. Source: the Alexandria database, functional PBE-GGA.

Cell lengths 4.070, 7.311, 7.311 Å; angles 54.17, 73.84, 73.84 degrees
Element x y z (fractional)
Dy1 0.000 0.000 0.000
Ti1 0.884 0.616 0.616
Ti2 0.116 0.384 0.384
Ga1 0.692 0.011 0.604
Ga2 0.308 0.989 0.396
Ga3 0.308 0.396 0.989
Ga4 0.500 0.683 0.317
Ga5 0.500 0.317 0.683
Ga6 0.692 0.604 0.011

=====

# 7
A relaxed Dy2TiGa crystal. Source: the Alexandria database, functional PBE-GGA.

Cell lengths 3.416, 3.416, 8.115 Å; angles 90.00, 90.00, 90.00 degrees
Element x y z (fractional)
Ti1 0.500 0.500 0.500
Ga1 0.500 0.500 0.000
Dy1 0.000 0.000 0.760
Dy2 0.000 0.000 0.240

* E above lowest polymorph: 0.0000 eV/atom

=====

# 8
A relaxed Dy2TiGa crystal. Source: the Alexandria database, functional PBE-GGA.

Cell lengths 4.330, 4.611, 4.611 Å; angles 90.00, 90.00, 90.00 degrees
Site moments in Bohr magnetons follow the coordinates.
Element x y z (fractional)
Ti1 0.500 0.000 0.000  0.98
Ga1 0.500 0.500 0.500  -0.04
Dy1 0.000 0.000 0.500  0.14
Dy2 0.000 0.500 0.000  0.14

* E above lowest polymorph: 0.0062 eV/atom

=====

# 9
A relaxed Dy2TiGa crystal. Source: the Alexandria database, functional PBE-GGA.

Cell lengths 3.321, 3.321, 10.813 Å; angles 81.17, 81.17, 60.00 degrees
Site moments in Bohr magnetons follow the coordinates.
Element x y z (fractional)
Ti1 0.000 0.000 0.000  1.37
Ga1 0.500 0.500 0.500  0.00
Dy1 0.094 0.094 0.719  0.17
Dy2 0.906 0.906 0.281  0.17

* E above lowest polymorph: 0.3692 eV/atom

=====

# 10
A relaxed DyTiZnGa crystal. Source: the Alexandria database, functional PBE-GGA.

Cell lengths 4.753, 4.753, 4.753 Å; angles 60.00, 60.00, 60.00 degrees
Element x y z (fractional)
Zn1 0.500 0.500 0.500
Ti1 0.750 0.750 0.750
Ga1 0.000 0.000 0.000
Dy1 0.250 0.250 0.250

=====

# 11
A relaxed Dy5Tl2Ga crystal. Source: the Alexandria database, functional PBE-GGA.

Cell lengths 5.023, 6.857, 12.812 Å; angles 90.00, 90.00, 90.00 degrees
Element x y z (fractional)
Dy1 0.000 0.000 0.500
Dy2 0.000 0.500 0.000
Dy3 0.000 0.863 0.220
Dy4 0.000 0.137 0.780
Dy5 0.000 0.637 0.720
Dy6 0.000 0.363 0.280
Dy7 0.500 0.666 0.407
Dy8 0.500 0.334 0.593
Dy9 0.500 0.834 0.907
Dy10 0.500 0.166 0.093
Tl1 0.500 0.612 0.156
Tl2 0.500 0.388 0.844
Tl3 0.500 0.888 0.656
Tl4 0.500 0.112 0.344
Ga1 0.000 0.500 0.500
Ga2 0.000 0.000 0.000

* E above lowest polymorph: 0.0000 eV/atom

=====

# 12
A relaxed Dy6Tl6Ga crystal. Source: the Alexandria database, functional PBE-GGA.

Cell lengths 6.508, 6.508, 10.289 Å; angles 90.00, 90.00, 120.00 degrees
Element x y z (fractional)
Dy1 0.000 0.000 0.698
Dy2 0.000 0.000 0.302
Dy3 0.333 0.667 0.000
Dy4 0.667 0.333 0.000
Dy5 0.333 0.667 0.500
Dy6 0.667 0.333 0.500
Tl1 0.000 0.500 0.750
Tl2 0.500 0.000 0.750
Tl3 0.500 0.500 0.750
Tl4 0.500 0.000 0.250
Tl5 0.000 0.500 0.250
Tl6 0.500 0.500 0.250
Ga1 0.000 0.000 0.000

=====

# 13
A relaxed DyTlGa2 crystal. Source: the Alexandria database, functional PBE-GGA.

Cell lengths 4.934, 4.934, 7.078 Å; angles 69.60, 69.60, 60.00 degrees
Element x y z (fractional)
Tl1 0.000 0.000 0.000
Ga1 0.143 0.143 0.572
Ga2 0.857 0.857 0.428
Dy1 0.500 0.500 0.500

* E above lowest polymorph: 0.5600 eV/atom

=====

# 14
A relaxed Dy6TlGa2 crystal. Source: the Alexandria database, functional PBE-GGA.

Cell lengths 8.653, 8.653, 8.653 Å; angles 104.56, 111.87, 112.09 degrees
Element x y z (fractional)
Dy1 0.538 0.722 0.816
Dy2 0.462 0.278 0.184
Dy3 0.095 0.278 0.816
Dy4 0.905 0.722 0.184
Dy5 0.797 0.760 0.557
Dy6 0.203 0.240 0.443
Dy7 0.203 0.760 0.962
Dy8 0.797 0.240 0.038
Dy9 0.703 0.382 0.679
Dy10 0.297 0.618 0.321
Dy11 0.297 0.976 0.679
Dy12 0.703 0.024 0.321
Tl1 0.000 0.500 0.500
Tl2 0.000 0.000 0.000
Ga1 0.500 0.379 0.879
Ga2 0.500 0.621 0.121
Ga3 0.646 0.000 0.646
Ga4 0.354 0.000 0.354

=====

# 15
A relaxed Dy4Tl3Ga crystal. Source: the Alexandria database, functional PBE-GGA.

Cell lengths 3.684, 3.684, 15.407 Å; angles 90.00, 90.00, 90.00 degrees
Element x y z (fractional)
Tl1 0.500 0.500 0.242
Tl2 0.500 0.500 0.500
Tl3 0.500 0.500 0.758
Ga1 0.500 0.500 0.000
Dy1 0.000 0.000 0.888
Dy2 0.000 0.000 0.112
Dy3 0.000 0.000 0.370
Dy4 0.000 0.000 0.630

* E above lowest polymorph: 0.0000 eV/atom

=====

# 16
A relaxed Dy5Tl2Ga crystal. Source: the Alexandria database, functional PBE-GGA.

Cell lengths 7.981, 7.981, 9.053 Å; angles 116.15, 116.15, 90.00 degrees
Element x y z (fractional)
Dy1 0.508 0.682 0.690
Dy2 0.818 0.992 0.310
Dy3 0.000 0.000 0.000
Dy4 0.500 0.500 0.000
Dy5 0.182 0.008 0.690
Dy6 0.682 0.182 0.690
Dy7 0.008 0.508 0.690
Dy8 0.318 0.818 0.310
Dy9 0.992 0.492 0.310
Dy10 0.492 0.318 0.310
Tl1 0.134 0.366 0.000
Tl2 0.634 0.134 0.000
Tl3 0.366 0.866 0.000
Tl4 0.866 0.634 0.000
Ga1 0.750 0.750 0.500
Ga2 0.250 0.250 0.500

* E above lowest polymorph: 0.0652 eV/atom

=====

# 17
A relaxed Dy8Tl3Ga2 crystal. Source: the Alexandria database, functional PBE-GGA.

Cell lengths 5.361, 9.011, 8.951 Å; angles 120.22, 89.99, 90.00 degrees
Element x y z (fractional)
Dy1 0.000 0.684 0.367
Dy2 0.000 0.316 0.633
Dy3 0.000 0.112 0.224
Dy4 0.000 0.888 0.776
Dy5 0.500 0.591 0.744
Dy6 0.500 0.153 0.744
Dy7 0.500 0.847 0.256
Dy8 0.500 0.409 0.256
Tl1 0.500 0.000 0.000
Tl2 0.000 0.318 0.000
Tl3 0.000 0.682 0.000
Ga1 0.500 0.229 0.457
Ga2 0.500 0.771 0.543

=====

# 18
A relaxed Dy4TlGa2 crystal. Source: the Alexandria database, functional PBE-GGA.

Cell lengths 5.001, 5.001, 9.557 Å; angles 74.83, 74.83, 60.00 degrees
Element x y z (fractional)
Dy1 0.382 0.382 0.854
Dy2 0.205 0.205 0.386
Dy3 0.795 0.795 0.614
Dy4 0.618 0.618 0.146
Tl1 0.000 0.000 0.000
Ga1 0.099 0.099 0.702
Ga2 0.901 0.901 0.298

=====

# 19
A relaxed Dy11Tl9Ga4 crystal. Source: the Alexandria database, functional PBE-GGA.

Cell lengths 3.768, 13.387, 13.387 Å; angles 113.20, 90.00, 90.00 degrees
Element x y z (fractional)
Dy1 0.000 0.588 0.932
Dy2 0.000 0.412 0.068
Dy3 0.000 0.932 0.588
Dy4 0.000 0.068 0.412
Dy5 0.000 0.631 0.369
Dy6 0.000 0.369 0.631
Dy7 0.000 0.835 0.165
Dy8 0.000 0.165 0.835
Dy9 0.000 0.000 0.000
Dy10 0.000 0.700 0.700
Dy11 0.000 0.300 0.300
Tl1 0.500 0.629 0.150
Tl2 0.500 0.371 0.850
Tl3 0.500 0.150 0.629
Tl4 0.500 0.850 0.371
Tl5 0.500 0.788 0.940
Tl6 0.500 0.212 0.060
Tl7 0.500 0.940 0.788
Tl8 0.500 0.060 0.212
Tl9 0.500 0.500 0.500
Ga1 0.500 0.552 0.750
Ga2 0.500 0.448 0.250
Ga3 0.500 0.750 0.552
Ga4 0.500 0.250 0.448

=====

# 20
A relaxed Dy4TlGa3 crystal. Source: the Alexandria database, functional PBE-GGA.

Cell lengths 4.417, 4.131, 11.056 Å; angles 90.00, 90.00, 90.00 degrees
Element x y z (fractional)
Tl1 0.500 0.500 0.083
Ga1 0.000 0.500 0.576
Ga2 0.000 0.000 0.425
Ga3 0.500 0.000 0.909
Dy1 0.500 0.500 0.370
Dy2 0.000 0.500 0.855
Dy3 0.000 0.000 0.145
Dy4 0.500 0.000 0.637

=====

Which calculated formation energy belongs to each record? In order, 116; -253; -362; -227; -477; -369; -141; -135; 228; -304; -363; -160; 183; -397; -401; -297; -199; -233; -386; -529 meV per atom.